Record 1
The following is a GGA-PBE calculation of a relaxed Tb5NdHo3 crystal, from Alexandria.

Its polymorph energy (0 for the lowest one) is 0 meV/atom. The calculation puts the formation enthalpy at 0 K at 0.32 eV/atom. Its density of states at the Fermi level is 52.23 states/eV per cell. The value obtained for the total energy is -155.250 eV per cell.

The space group is C2/c (No. 15) and the conventional cell measures 17.3170, 6.1703 and 11.2385 Å, with angles of 90.00, 91.08 and 90.00 degrees. The inequivalent atoms are Tb at (0.0000, 0.1007, 0.2500), Tb at (0.1636, 0.2251, 0.5787), Tb at (0.1760, 0.2896, 0.2475), Nd at (0.0000, 0.3734, 0.7500), Ho at (0.0000, 0.5000, 0.0000) and Ho at (0.1646, 0.2339, 0.9171).



Record 2
The following is a GGA-PBE calculation of a relaxed Tb4Th3N8 crystal, from Alexandria.

Its density of states at the Fermi level is 6.60 states/eV per cell. The value obtained for the total energy is -256.676 eV per cell. The formation energy from raw total energies is -1.397 eV per atom.

The space group is C2/m (No. 12) and the conventional cell measures 9.9228, 10.1000 and 7.0924 Å, with angles of 90.00, 133.83 and 90.00 degrees. The inequivalent atoms are Tb at (0.0000, 0.0000, 0.0000), Tb at (0.0000, 0.0000, 0.5000), Tb at (0.2500, 0.2500, 0.0000), Th at (0.0000, 0.5000, 0.0000), Th at (0.2500, 0.2500, 0.5000), N at (0.0000, 0.2352, 0.5000), N at (0.0000, 0.2472, 0.0000), N at (0.2387, 0.0000, 0.9683) and N at (0.2401, 0.0000, 0.5061).



Record 3
The following is a GGA-PBE calculation of a relaxed GdInPd crystal, from Alexandria.

The calculation puts the formation enthalpy at 0 K at -0.81 eV/atom. Its density of states at the Fermi level is 7.71 states/eV per cell. The value obtained for the total energy is -73.289 eV per cell.

The space group is P-62m (No. 189) and the conventional cell measures 7.7879, 7.7879 and 3.8668 Å, with angles of 90.00, 90.00 and 120.00 degrees. The inequivalent atoms are Gd at (0.0000, 0.5923, 0.0000), In at (0.0000, 0.2592, 0.5000), Pd at (0.0000, 0.0000, 0.0000) and Pd at (0.3333, 0.6667, 0.5000).



Record 4
The following is a GGA-PBE calculation of a relaxed Sr3ZnBi crystal, from Alexandria.

Its polymorph energy (0 for the lowest one) is 0 meV/atom. The calculation puts the formation enthalpy at 0 K at -0.47 eV/atom. Its density of states at the Fermi level is 5.11 states/eV per cell. The value obtained for the total energy is -25.084 eV per cell.

The space group is P-1 (No. 2) and the conventional cell measures 4.6006, 9.1506 and 9.4959 Å, with angles of 86.91, 89.98 and 75.48 degrees. The inequivalent atoms are Sr at (0.0474, 0.4060, 0.1786), Sr at (0.2431, 0.0142, 0.8163), Sr at (0.3920, 0.7145, 0.4350), Zn at (0.2172, 0.0670, 0.4497) and Bi at (0.3905, 0.7190, 0.0734).



Record 5
The following is a GGA-PBE calculation of a relaxed Rb6AlSe4 crystal, from Alexandria.

Its density of states at the Fermi level is 3.08 states/eV per cell. The value obtained for the total energy is -70.177 eV per cell. The formation energy from raw total energies is -1.055 eV per atom.

The space group is P6_3mc (No. 186) and the conventional cell measures 10.9282, 10.9282 and 8.2549 Å, with angles of 90.00, 90.00 and 120.00 degrees. The inequivalent atoms are Rb at (0.0578, 0.5289, 0.0000), Rb at (0.1353, 0.2706, 0.3126), Al at (0.3333, 0.6667, 0.6057), Se at (0.2102, 0.4205, 0.7007) and Se at (0.3333, 0.6667, 0.3062).



Record 6
The following is a GGA-PBE calculation of a relaxed Cr2Rh2Br crystal, from Alexandria.

Its polymorph energy (0 for the lowest one) is 0 meV/atom. Its density of states at the Fermi level is 20.00 states/eV per cell. The value obtained for the total energy is -66.639 eV per cell. The formation energy from raw total energies is 0.461 eV per atom.

The space group is P4/mbm (No. 127) and the conventional cell measures 7.3687, 7.3687 and 2.7587 Å, with angles of 90.00, 90.00 and 90.00 degrees. The inequivalent atoms are Cr at (0.1629, 0.3371, 0.0000), Rh at (0.1288, 0.6288, 0.5000) and Br at (0.0000, 0.0000, 0.0000).